Density functional theory data (PBE-GGA) for a relaxed structure of AcAgSnSb.

Lattice parameters (Å, degrees): 5.475 5.475 5.475 60.00 60.00 60.00
Element x y z (fractional)
Ag  0.750  0.750  0.750
Sb  0.250  0.250  0.250
Sn  0.500  0.500  0.500
Ac  0.000  0.000  0.000

space group: No. 216
formation energy (no corrections): -0.340 eV per atom
size of the total moment: 0.0 Bohr magnetons per cell